1.
The following is a PBE calculation of crystalline Cs2YI at its relaxed geometry, from the Alexandria database.

Values from the calculation:
Distance to the lowest polymorph of the same formula, eV/atom: 0.1626
Magnetization, μB per cell: 8.00

Unit cell a=9.8848 b=9.8848 c=9.8848 alpha=90.00 beta=90.00 gamma=90.00
Closest atoms and distances in Å follow each position.
Space group Fm-3m (No. 225)
Unique sites:
Cs 0.2500 0.2500 0.2500 (multiplicity 8)  4 I 4.28, 4 Y 4.28
Y 0.0000 0.0000 0.0000 (multiplicity 4)  8 Cs 4.28
I 0.0000 0.0000 0.5000 (multiplicity 4)  8 Cs 4.28

---

2.
The following is a PBE calculation of crystalline La5Be at its relaxed geometry, from the Alexandria database.

Values from the calculation:
Distance to the lowest polymorph of the same formula, eV/atom: 0.0205
Magnetization, μB per cell: 0.00
Formation energy from the elements, meV per atom: 93

Unit cell a=12.5603 b=3.7536 c=8.9511 alpha=90.00 beta=112.04 gamma=90.00
Closest atoms and distances in Å follow each position.
Space group C2/m (No. 12)
Unique sites:
La 0.0000 0.0000 0.0000 (multiplicity 2)  12 La 3.58-3.97
La 0.1337 0.5000 0.3640 (multiplicity 4)  2 Be 3.06, 1 La 3.42
La 0.1602 0.5000 0.7816 (multiplicity 4)  2 Be 3.18, 1 La 3.42
Be 0.0000 0.0000 0.5000 (multiplicity 2)  8 La 3.06-3.18

---

3.
The following is a PBE calculation of crystalline ZrOs2Ru at its relaxed geometry, from the Alexandria database.

Values from the calculation:
Distance to the lowest polymorph of the same formula, eV/atom: 0.2906
Magnetization, μB per cell: 0.00
Formation energy from the elements, meV per atom: 234

Unit cell a=2.7745 b=2.7745 c=28.4183 alpha=90.00 beta=90.00 gamma=120.00
Closest atoms and distances in Å follow each position.
Space group R-3m (No. 166, hexagonal axes)
Unique sites:
Zr 0.0000 0.0000 0.0000 (multiplicity 3)  6 Zr 2.77, 6 Os 3.03
Os 0.0000 0.0000 0.2427 (multiplicity 6)  3 Ru 2.69, 6 Os 2.77
Ru 0.0000 0.0000 0.5000 (multiplicity 3)  6 Os 2.69, 6 Ru 2.77

---

4.
The following is a PBE calculation of crystalline CsGa4Sn2 at its relaxed geometry, from the Alexandria database.

Values from the calculation:
Magnetization, μB per cell: 0.00
Formation energy from the elements, meV per atom: -70

Unit cell a=4.9704 b=4.9704 c=28.8787 alpha=90.00 beta=90.00 gamma=120.00
Closest atoms and distances in Å follow each position.
Space group R-3m (No. 166, hexagonal axes)
Unique sites:
Cs 0.0000 0.0000 0.0000 (multiplicity 3)  6 Sn 3.94, 2 Ga 4.08
Ga 0.0000 0.0000 0.1412 (multiplicity 6)  4 Sn 2.86-3.19, 3 Ga 2.93
Ga 0.0000 0.0000 0.4542 (multiplicity 6)  4 Ga 2.64-2.93
Sn 0.0000 0.0000 0.2401 (multiplicity 6)  7 Ga 2.86-3.19

---

5.
The following is a PBE calculation of crystalline TaTlCl2 at its relaxed geometry, from the Alexandria database.

Values from the calculation:
Distance to the lowest polymorph of the same formula, eV/atom: 0.4976
Magnetization, μB per cell: 0.00

Unit cell a=3.2022 b=3.2022 c=8.3776 alpha=90.00 beta=90.00 gamma=90.00
Closest atoms and distances in Å follow each position.
Space group P4mm (No. 99)
Unique sites:
Ta 0.0000 0.0000 0.0000 (multiplicity 1)  4 Cl 2.68
Tl 0.5000 0.5000 0.2514 (multiplicity 1)  4 Cl 2.98, 4 Ta 3.09, 4 Tl 3.20
Cl 0.0000 0.0000 0.4819 (multiplicity 1)  4 Tl 2.98, 4 Cl 3.20
Cl 0.5000 0.5000 0.8278 (multiplicity 1)  4 Ta 2.68

---

6.
The following is a PBE calculation of crystalline LaInSb2I at its relaxed geometry, from the Alexandria database.

Values from the calculation:
Distance to the lowest polymorph of the same formula, eV/atom: 0.0195
Magnetization, μB per cell: 0.27

Unit cell a=6.1216 b=6.1216 c=6.2783 alpha=90.00 beta=90.00 gamma=90.00
Closest atoms and distances in Å follow each position.
Space group P4/mmm (No. 123)
Unique sites:
La 0.0000 0.0000 0.0000 (multiplicity 1)  4 Sb 3.06, 2 I 3.14
In 0.5000 0.5000 0.5000 (multiplicity 1)  4 I 4.33, 8 Sb 4.38
Sb 0.0000 0.5000 0.0000 (multiplicity 2)  2 La 3.06
I 0.0000 0.0000 0.5000 (multiplicity 1)  2 La 3.14

---

7.
The following is a PBE calculation of crystalline TlHg6Pb12 at its relaxed geometry, from the Alexandria database.

Values from the calculation:
Magnetization, μB per cell: 0.00
Formation energy from the elements, meV per atom: 104

Unit cell a=14.5265 b=14.5265 c=10.0732 alpha=90.00 beta=90.00 gamma=120.00
Closest atoms and distances in Å follow each position.
Space group R-3m (No. 166, hexagonal axes)
Unique sites:
Tl 0.0000 0.0000 0.0000 (multiplicity 3)  6 Pb 3.88
Hg 0.0253 0.5127 0.2371 (multiplicity 18)  5 Pb 3.05-3.14
Pb 0.0000 0.3860 0.5000 (multiplicity 18)  4 Hg 3.05-3.14, 1 Pb 3.31
Pb 0.0787 0.1573 0.3318 (multiplicity 18)  1 Hg 3.06

---

8.
The following is a PBE calculation of crystalline Pr4Nd7Th at its relaxed geometry, from the Alexandria database.

Values from the calculation:
Magnetization, μB per cell: 0.00
Formation energy from the elements, meV per atom: 24

Unit cell a=6.4217 b=7.4314 c=9.1855 alpha=89.98 beta=76.49 gamma=89.98
Closest atoms and distances in Å follow each position.
Space group P-1 (No. 2)
Unique sites:
Pr 0.2245 0.0004 0.3341 (multiplicity 2)  4 Pr 3.67-3.73, 8 Nd 3.68-3.73
Pr 0.2740 0.2540 0.6726 (multiplicity 2)  1 Th 3.61, 8 Nd 3.63-3.78, 3 Pr 3.71-3.73
Nd 0.0000 0.0000 0.0000 (multiplicity 1)  4 Pr 3.64-3.68, 6 Nd 3.64-3.73, 2 Th 3.72
Nd 0.2193 0.5002 0.3259 (multiplicity 2)  1 Th 3.59, 6 Nd 3.60-3.76, 5 Pr 3.65-3.76
Nd 0.2735 0.7451 0.6731 (multiplicity 2)  1 Th 3.60, 5 Nd 3.63-3.76, 6 Pr 3.65-3.78
Nd 0.4999 0.2561 0.0005 (multiplicity 2)  7 Nd 3.60-3.81, 3 Pr 3.63-3.70, 2 Th 3.69
Th 0.0000 0.5000 0.0000 (multiplicity 1)  10 Nd 3.59-3.72, 2 Pr 3.61

---

9.
The following is a PBE calculation of crystalline Ag7SnSe6 at its relaxed geometry, from the Alexandria database.

Values from the calculation:
Magnetization, μB per cell: 0.00
Electronic total energy, eV/cell: -137.5

Unit cell a=7.3538 b=7.3538 c=21.0924 alpha=90.00 beta=90.00 gamma=120.00
Closest atoms and distances in Å follow each position.
Space group R3 (No. 146, hexagonal axes)
Unique sites:
Ag 0.0000 0.0000 0.0000 (multiplicity 3)  6 Se 2.91-2.93, 3 Ag 3.23
Ag 0.0007 0.7604 0.4702 (multiplicity 9)  4 Se 2.70-2.93, 1 Ag 2.86
Ag 0.0147 0.3087 0.8885 (multiplicity 9)  4 Se 2.68-2.76, 1 Ag 2.86
Sn 0.0000 0.0000 0.6860 (multiplicity 3)  6 Se 2.77-2.82
Se 0.0321 0.6821 0.2738 (multiplicity 9)  5 Ag 2.68-2.93, 1 Sn 2.82
Se 0.0717 0.3432 0.7590 (multiplicity 9)  5 Ag 2.70-2.93, 1 Sn 2.77

---

10.
The following is a PBE calculation of crystalline Pm6As2AuS3 at its relaxed geometry, from the Alexandria database.

Values from the calculation:
Magnetization, μB per cell: 0.00
Electronic total energy, eV/cell: -146.5

Unit cell a=18.0958 b=4.1354 c=8.3302 alpha=90.00 beta=103.46 gamma=90.00
Closest atoms and distances in Å follow each position.
Space group C2/m (No. 12)
Unique sites:
Pm 0.0019 0.0000 0.2381 (multiplicity 4)  3 S 2.86-2.92, 1 As 2.95, 2 Au 3.01
Pm 0.1670 0.5000 0.0841 (multiplicity 4)  3 S 2.93-2.94, 3 As 2.94-2.95
Pm 0.1714 0.5000 0.5851 (multiplicity 4)  3 S 2.83-2.93, 2 As 2.94, 1 Au 3.02
As 0.1656 0.0000 0.8326 (multiplicity 4)  6 Pm 2.94-2.95
Au 0.0000 0.5000 0.5000 (multiplicity 2)  6 Pm 3.01-3.02
S 0.0000 0.5000 0.0000 (multiplicity 2)  6 Pm 2.86-2.94
S 0.1678 0.0000 0.3341 (multiplicity 4)  6 Pm 2.83-2.93

---

11.
The following is a PBE calculation of crystalline Sr3MnC2N6 at its relaxed geometry, from the Alexandria database.

Values from the calculation:
Magnetization, μB per cell: 3.63
Electronic total energy, eV/cell: -87.2

Unit cell a=5.3612 b=5.3612 c=6.4740 alpha=90.00 beta=90.00 gamma=120.00
Closest atoms and distances in Å follow each position.
Space group P-3m1 (No. 164)
Unique sites:
Sr 0.0000 0.0000 0.0000 (multiplicity 1)  6 N 2.56
Sr 0.3333 0.6667 0.6938 (multiplicity 2)  1 C 2.58, 6 N 2.69
Mn 0.0000 0.0000 0.5000 (multiplicity 1)  6 N 2.17
C 0.3333 0.6667 0.2954 (multiplicity 2)  3 N 1.38
N 0.1848 0.3696 0.2944 (multiplicity 6)  1 C 1.38

---

- Which of these has the highest magnetization?
  Cs2YI

---

What did the ninth record say?
The following is a PBE calculation of crystalline Ag7SnSe6 at its relaxed geometry, from the Alexandria database.

Values from the calculation:
Magnetization, μB per cell: 0.00
Electronic total energy, eV/cell: -137.5

Unit cell a=7.3538 b=7.3538 c=21.0924 alpha=90.00 beta=90.00 gamma=120.00
Closest atoms and distances in Å follow each position.
Space group R3 (No. 146, hexagonal axes)
Unique sites:
Ag 0.0000 0.0000 0.0000 (multiplicity 3)  6 Se 2.91-2.93, 3 Ag 3.23
Ag 0.0007 0.7604 0.4702 (multiplicity 9)  4 Se 2.70-2.93, 1 Ag 2.86
Ag 0.0147 0.3087 0.8885 (multiplicity 9)  4 Se 2.68-2.76, 1 Ag 2.86
Sn 0.0000 0.0000 0.6860 (multiplicity 3)  6 Se 2.77-2.82
Se 0.0321 0.6821 0.2738 (multiplicity 9)  5 Ag 2.68-2.93, 1 Sn 2.82
Se 0.0717 0.3432 0.7590 (multiplicity 9)  5 Ag 2.70-2.93, 1 Sn 2.77